Below is a relaxed structure of Ag3Au5I12, with properties calculated at the GGA-PBE level.

Output
magnetic moment = 0.00 Bohr magnetons per cell
space-group type = No. 230
uncorrected formation energy = -3 meV/atom

CIF file:
```
data_Ag3Au5I12
_chemical_formula_sum 'Ag12 Au20 I48'
_symmetry_space_group_name_H-M 'P 1'
_symmetry_Int_Tables_number 1
_cell_length_a 15.8822
_cell_length_b 15.8822
_cell_length_c 15.8822
_cell_angle_alpha 109.47
_cell_angle_beta 109.47
_cell_angle_gamma 109.47
loop_
_symmetry_equiv_pos_as_xyz
'x,y,z'
loop_
_atom_site_label
_atom_site_fract_x
_atom_site_fract_y
_atom_site_fract_z
Ag1 0.7500 0.3750 0.1250
Ag2 0.8750 0.7500 0.1250
Ag3 0.3750 0.7500 0.6250
Ag4 0.2500 0.1250 0.3750
Ag5 0.8750 0.1250 0.2500
Ag6 0.3750 0.6250 0.2500
Ag7 0.6250 0.3750 0.7500
Ag8 0.1250 0.8750 0.7500
Ag9 0.7500 0.8750 0.6250
Ag10 0.6250 0.2500 0.3750
Ag11 0.1250 0.2500 0.8750
Ag12 0.2500 0.6250 0.8750
Au1 0.1250 0.3750 0.2500
Au2 0.0000 0.5000 0.0000
Au3 0.0000 0.0000 0.0000
Au4 0.3750 0.2500 0.1250
Au5 0.5000 0.0000 0.5000
Au6 0.5000 0.5000 0.0000
Au7 0.1250 0.7500 0.3750
Au8 0.7500 0.1250 0.8750
Au9 0.7500 0.6250 0.3750
Au10 0.3750 0.1250 0.7500
Au11 0.6250 0.8750 0.2500
Au12 0.5000 0.5000 0.5000
Au13 0.5000 0.0000 0.0000
Au14 0.0000 0.0000 0.5000
Au15 0.2500 0.3750 0.6250
Au16 0.2500 0.8750 0.1250
Au17 0.0000 0.5000 0.5000
Au18 0.8750 0.2500 0.6250
Au19 0.6250 0.7500 0.8750
Au20 0.8750 0.6250 0.7500
I1 0.6662 0.1514 0.0063
I2 0.3401 0.5063 0.3548
I3 0.9937 0.3486 0.3338
I4 0.5063 0.1662 0.1514
I5 0.5148 0.6662 0.6599
I6 0.9937 0.6452 0.1599
I7 0.3401 0.8338 0.4852
I8 0.1452 0.9852 0.1514
I9 0.6452 0.9937 0.6599
I10 0.6662 0.5148 0.1599
I11 0.8338 0.4937 0.3486
I12 0.8401 0.8548 0.0063
I13 0.1514 0.6662 0.5063
I14 0.3486 0.3548 0.0148
I15 0.0148 0.8548 0.3486
I16 0.4852 0.1514 0.6452
I17 0.0148 0.1599 0.1662
I18 0.4937 0.6599 0.1452
I19 0.8401 0.9852 0.3338
I20 0.1514 0.4852 0.1452
I21 0.3486 0.9937 0.8338
I22 0.6452 0.6514 0.4852
I23 0.8548 0.8401 0.5063
I24 0.8338 0.3401 0.9852
I25 0.3548 0.3486 0.5148
I26 0.1452 0.1599 0.4937
I27 0.1662 0.6599 0.0148
I28 0.1599 0.0148 0.6662
I29 0.6514 0.0063 0.1662
I30 0.8486 0.5148 0.8548
I31 0.5063 0.3401 0.8548
I32 0.5148 0.8486 0.3548
I33 0.9852 0.8401 0.8338
I34 0.9852 0.1452 0.6514
I35 0.8486 0.3338 0.4937
I36 0.1599 0.1452 0.9937
I37 0.6514 0.6452 0.9852
I38 0.3548 0.0063 0.3401
I39 0.3338 0.4852 0.8401
I40 0.1662 0.5063 0.6514
I41 0.8548 0.0148 0.8486
I42 0.6599 0.1662 0.5148
I43 0.4937 0.8338 0.8486
I44 0.0063 0.3548 0.8401
I45 0.4852 0.3338 0.3401
I46 0.0063 0.6514 0.6662
I47 0.6599 0.4937 0.6452
I48 0.3338 0.8486 0.9937
```

=====

Below is a relaxed structure of Mo3Ru2, with properties calculated at the GGA-PBE level.

Output
magnetic moment = 0.00 Bohr magnetons per cell
ΔE_f = 0.17 eV/atom
excess energy over the best structure of this formula in the dataset = 0.1401 eV/atom
space-group type = No. 166

CIF file:
```
data_Mo3Ru2
_chemical_formula_sum 'Mo3 Ru2'
_symmetry_space_group_name_H-M 'P 1'
_symmetry_Int_Tables_number 1
_cell_length_a 11.6159
_cell_length_b 11.6159
_cell_length_c 11.6159
_cell_angle_alpha 13.64
_cell_angle_beta 13.64
_cell_angle_gamma 13.64
loop_
_symmetry_equiv_pos_as_xyz
'x,y,z'
loop_
_atom_site_label
_atom_site_fract_x
_atom_site_fract_y
_atom_site_fract_z
Mo1 0.0000 0.0000 0.0000
Mo2 0.7973 0.7973 0.7973
Mo3 0.2027 0.2027 0.2027
Ru1 0.6006 0.6006 0.6006
Ru2 0.3994 0.3994 0.3994
```

=====

Below is a relaxed structure of Na2HgCl2, with properties calculated at the GGA-PBE level.

Output
magnetic moment = 0.00 Bohr magnetons per cell
excess energy over the best structure of this formula in the dataset = 0.0000 eV/atom
space-group type = No. 139
uncorrected formation energy = -1306 meV/atom

CIF file:
```
data_Na2HgCl2
_chemical_formula_sum 'Na2 Hg1 Cl2'
_symmetry_space_group_name_H-M 'P 1'
_symmetry_Int_Tables_number 1
_cell_length_a 5.4365
_cell_length_b 5.4365
_cell_length_c 7.7529
_cell_angle_alpha 69.48
_cell_angle_beta 69.48
_cell_angle_gamma 90.00
loop_
_symmetry_equiv_pos_as_xyz
'x,y,z'
loop_
_atom_site_label
_atom_site_fract_x
_atom_site_fract_y
_atom_site_fract_z
Na1 0.2607 0.2607 0.4785
Na2 0.7393 0.7393 0.5215
Hg1 0.0000 0.0000 0.0000
Cl1 0.7500 0.2500 0.5000
Cl2 0.2500 0.7500 0.5000
```

=====

> magnetic moment of number 3 (Na2HgCl2)?

0.00 Bohr magnetons per cell